Entry 1:
The following is a DFT calculation (PBE+U) of ZnFeP2O after structural relaxation.

Cell lengths 4.8513, 4.8513, 3.5712 Å; angles 90.00, 90.00, 90.00 degrees
Each line ends with the local moment (μB).
Fractional coordinates of all 5 atoms:
1 P 0.0000 0.5000 0.0000  -0.07
2 P 0.5000 0.0000 0.0000  -0.07
3 Zn 0.0000 0.0000 0.0000  -0.01
4 O 0.0000 0.0000 0.5000  -0.01
5 Fe 0.5000 0.5000 0.5000  3.55

## Properties
For the offset from the most stable computed form, the calculation gives 379 meV/atom.

Entry 2:
The following is a DFT calculation (PBE+U) of ZnFeP2O after structural relaxation.

Cell lengths 4.7874, 4.7874, 3.5378 Å; angles 90.00, 90.00, 90.00 degrees
Each line ends with the local moment (μB).
Fractional coordinates of all 5 atoms:
1 O 0.0000 0.0000 0.5000  0.09
2 Zn 0.5000 0.5000 0.5000  0.01
3 P 0.0000 0.5000 0.0000  -0.14
4 P 0.5000 0.0000 0.0000  -0.14
5 Fe 0.0000 0.0000 0.0000  3.30

## Properties
For the offset from the most stable computed form, the calculation gives 0 meV/atom.

Entry 3:
The following is a DFT calculation (PBE+U) of Zn3Fe9P8O32 after structural relaxation.

Cell lengths 6.1209, 9.6535, 10.5731 Å; angles 89.88, 89.61, 89.88 degrees
Each line ends with the local moment (μB).
Fractional coordinates of all 52 atoms:
1 Fe 0.2643 0.9908 0.2829  3.80
2 Fe 0.7353 0.5085 0.7175  3.77
3 Fe 0.7375 0.7412 0.2180  3.79
4 Fe 0.0000 0.5000 0.0000  3.77
5 Fe 0.2647 0.7597 0.7822  3.78
6 Fe 0.2647 0.4915 0.2825  3.77
7 Fe 0.7353 0.2403 0.2178  3.78
8 Fe 0.7357 0.0092 0.7171  3.80
9 Fe 0.2625 0.2588 0.7820  3.79
10 O 0.7814 0.6268 0.8960  0.04
11 O 0.7552 0.9072 0.5378  0.02
12 O 0.4273 0.0891 0.6813  0.04
13 O 0.4305 0.6617 0.1818  0.04
14 O 0.2221 0.8764 0.1059  0.02
15 O 0.4275 0.1601 0.1820  0.04
16 O 0.9686 0.3574 0.8378  0.06
17 O 0.7560 0.8436 0.0373  0.02
18 O 0.2186 0.3732 0.1040  0.04
19 O 0.2445 0.5932 0.4629  0.02
20 O 0.7797 0.1244 0.3957  0.02
21 O 0.7542 0.3393 0.0366  0.04
22 O 0.0314 0.6426 0.1622  0.06
23 O 0.5727 0.9109 0.3187  0.04
24 O 0.5695 0.3383 0.8182  0.04
25 O 0.9715 0.8610 0.8388  0.04
26 O 0.5730 0.4107 0.3178  0.04
27 O 0.2458 0.6607 0.9634  0.04
28 O 0.9722 0.3898 0.3392  0.03
29 O 0.2203 0.8756 0.6043  0.02
30 O 0.5725 0.8399 0.8180  0.04
31 O 0.7779 0.1236 0.8941  0.02
32 O 0.2440 0.1564 0.9627  0.02
33 O 0.0278 0.6102 0.6608  0.03
34 O 0.4270 0.5893 0.6822  0.04
35 O 0.2206 0.3758 0.6048  0.02
36 O 0.0285 0.1390 0.1612  0.04
37 O 0.9718 0.8898 0.3400  0.04
38 O 0.0282 0.1102 0.6600  0.04
39 O 0.2448 0.0928 0.4622  0.02
40 O 0.7555 0.4068 0.5371  0.02
41 O 0.7794 0.6242 0.3952  0.02
42 Zn 0.9997 0.7496 0.5001  0.00
43 Zn 0.0000 0.0000 0.0000  0.00
44 Zn 0.0003 0.2504 0.4999  0.00
45 P 0.2365 0.2137 0.0998  0.01
46 P 0.7633 0.9649 0.4007  0.01
47 P 0.7635 0.7863 0.9002  0.01
48 P 0.2367 0.0351 0.5993  0.01
49 P 0.7610 0.2831 0.8994  0.01
50 P 0.2390 0.7169 0.1006  0.01
51 P 0.7635 0.4647 0.4000  0.01
52 P 0.2365 0.5353 0.6000  0.01

no.,raw total energy (eV per atom)
1,-3.8084
2,-4.1878
3,-6.8886